Ba3Sr2Pd3: relaxed, PBE-GGA.

Lattice parameters (Å, degrees): 6.255 7.798 15.424 88.84 90.00 113.64
Element x y z (fractional)
Ba  0.655  0.310  0.575
Ba  0.752  0.504  0.249
Ba  0.953  0.906  0.877
Ba  0.251  0.502  0.748
Ba  0.056  0.112  0.118
Ba  0.048  0.097  0.380
Sr  0.673  0.345  0.936
Sr  0.936  0.872  0.614
Sr  0.326  0.651  0.435
Sr  0.336  0.672  0.066
Pd  0.780  0.561  0.753
Pd  0.846  0.692  0.057
Pd  0.837  0.674  0.443
Pd  0.224  0.448  0.250
Pd  0.163  0.327  0.942
Pd  0.145  0.289  0.561

Computed properties:
Final energy   -55.71 eV per cell
Crystal system   monoclinic
Space group   No. 8
Density of states at the Fermi level   10.84 states/eV per cell

***

Sr4Nb5O15: relaxed, PBE-GGA.

Lattice parameters (Å, degrees): 9.078 9.078 7.032 75.05 75.05 36.87
Element x y z (fractional)
Sr  0.597  0.597  0.610
Sr  0.197  0.197  0.198
Sr  0.803  0.803  0.802
Sr  0.403  0.403  0.390
Nb  0.801  0.801  0.297
Nb  0.598  0.598  0.100
Nb  0.199  0.199  0.703
Nb  0.402  0.402  0.900
Nb  0.000  0.000  0.500
O  0.101  0.589  0.101
O  0.899  0.411  0.899
O  0.500  0.000  0.500
O  0.692  0.205  0.692
O  0.308  0.795  0.308
O  0.000  0.500  0.500
O  0.795  0.308  0.308
O  0.411  0.899  0.899
O  0.589  0.101  0.101
O  0.205  0.692  0.692
O  0.898  0.898  0.408
O  0.699  0.699  0.203
O  0.301  0.301  0.797
O  0.500  0.500  0.000
O  0.102  0.102  0.592

Computed properties:
Final energy   -198.39 eV per cell
Crystal system   monoclinic
Formation energy from raw total energies   -2.7891 eV/atom
Space group   No. 12
Density of states at the Fermi level   5.16 states/eV per cell

***

K6Rb12Na: relaxed, PBE-GGA.

Lattice parameters (Å, degrees): 11.635 11.635 11.635 89.19 89.19 89.19
Element x y z (fractional)
K  0.744  0.890  0.254
K  0.746  0.256  0.110
K  0.110  0.746  0.256
K  0.256  0.110  0.746
K  0.254  0.744  0.890
K  0.890  0.254  0.744
Rb  0.802  0.525  0.440
Rb  0.440  0.802  0.525
Rb  0.525  0.440  0.802
Rb  0.198  0.475  0.560
Rb  0.560  0.198  0.475
Rb  0.475  0.560  0.198
Rb  0.041  0.149  0.371
Rb  0.851  0.629  0.959
Rb  0.629  0.959  0.851
Rb  0.959  0.851  0.629
Rb  0.149  0.371  0.041
Rb  0.371  0.041  0.149
Na  0.000  0.000  0.000

Computed properties:
E above lowest polymorph   6 meV/atom
Final energy   -19.16 eV per cell
Crystal system   trigonal
Space group   No. 148
Density of states at the Fermi level   18.25 states/eV per cell

***

LaHfTc2As: relaxed, PBE-GGA.

Lattice parameters (Å, degrees): 4.726 5.328 4.726 90.00 90.00 90.00
Element x y z (fractional)
As  0.500  0.500  0.500
Hf  0.000  0.500  0.000
Tc  0.000  0.000  0.500
Tc  0.500  0.000  0.000
La  0.000  0.000  0.000

Computed properties:
Final energy   -31.05 eV per cell
Crystal system   tetragonal
Space group   No. 123
Density of states at the Fermi level   5.15 states/eV per cell

***

Rb2TcIrI6: relaxed, PBE-GGA.

Lattice parameters (Å, degrees): 8.013 8.013 8.034 60.09 60.09 90.00
Element x y z (fractional)
I  0.244  0.244  0.512
I  0.756  0.756  0.488
I  0.245  0.245  0.000
I  0.755  0.755  0.000
I  0.755  0.245  0.000
I  0.245  0.755  0.000
Ir  0.000  0.000  0.000
Tc  0.500  0.500  0.000
Rb  0.750  0.250  0.500
Rb  0.250  0.750  0.500

Computed properties:
Final energy   -33.84 eV per cell
Crystal system   tetragonal
Formation energy from raw total energies   -0.3378 eV/atom
Space group   No. 139
Density of states at the Fermi level   3.17 states/eV per cell

***

Sm4ErTl4: relaxed, PBE-GGA.

Lattice parameters (Å, degrees): 6.157 9.340 9.340 90.00 90.00 90.00
Element x y z (fractional)
Sm  0.371  0.425  0.833
Sm  0.871  0.667  0.925
Sm  0.371  0.575  0.167
Sm  0.129  0.075  0.667
Sm  0.629  0.833  0.575
Sm  0.129  0.925  0.333
Sm  0.871  0.333  0.075
Sm  0.629  0.167  0.425
Er  0.000  0.000  0.000
Er  0.500  0.500  0.500
Tl  0.620  0.900  0.205
Tl  0.620  0.100  0.795
Tl  0.120  0.705  0.600
Tl  0.880  0.400  0.705
Tl  0.880  0.600  0.295
Tl  0.380  0.205  0.100
Tl  0.380  0.795  0.900
Tl  0.120  0.295  0.400

Computed properties:
Final energy   -69.15 eV per cell
Crystal system   tetragonal
Space group   No. 86
Density of states at the Fermi level   13.23 states/eV per cell